# 1
{"formula": "LaTe2Ir", "functional": "PBE", "state": "optimized geometry", "lattice": [[2.0123, 1.1618, 9.1158], [-2.0123, 1.1618, 9.1158], [0.0000, -2.3237, 9.1158]], "species": ["La", "Te", "Te", "Ir"], "fractional_positions": [[0.0000, 0.0000, 0.0000], [0.1175, 0.1175, 0.1175], [0.8825, 0.8825, 0.8825], [0.5000, 0.5000, 0.5000]], "total_energy_ev_per_atom": -5.264, "e_above_lowest_polymorph_ev_per_atom": 0.547, "formation_energy_uncorrected_ev_per_fu": -0.98, "mass_density_g_cm3": 7.61, "total_magnetization_mub_per_atom": 0.000, "spacegroup": "No. 166", "vol_a3_per_atom": 32.0}


# 2
{"formula": "LaTeIr", "functional": "PBE", "state": "optimized geometry", "lattice": [[11.5081, 0.0000, 0.0000], [0.0000, 2.1422, 3.1567], [0.0000, -2.1422, 3.1567]], "species": ["La", "La", "Te", "Te", "Ir", "Ir"], "fractional_positions": [[0.1577, 0.0000, 0.0000], [0.8423, 0.0000, 0.0000], [0.3656, 0.3753, 0.3753], [0.6344, 0.3753, 0.3753], [0.0000, 0.4903, 0.4903], [0.5000, 0.0102, 0.0102]], "total_energy_ev_per_atom": -6.031, "formation_energy_uncorrected_ev_per_fu": -1.16, "mass_density_g_cm3": 9.79, "total_magnetization_mub_per_atom": 0.000, "spacegroup": "No. 38", "vol_a3_per_atom": 25.9}


# 3
{"formula": "LaTeIr", "functional": "PBE", "state": "optimized geometry", "lattice": [[-2.0405, 2.0405, 4.8424], [2.0405, -2.0405, 4.8424], [2.0405, 2.0405, -4.8424]], "species": ["La", "Te", "Ir"], "fractional_positions": [[0.0000, 0.0000, 0.0000], [0.3269, 0.3269, 0.0000], [0.5968, 0.5968, 0.0000]], "total_energy_ev_per_atom": -6.100, "formation_energy_uncorrected_ev_per_fu": -1.37, "mass_density_g_cm3": 9.45, "total_magnetization_mub_per_atom": 0.000, "spacegroup": "No. 107", "vol_a3_per_atom": 26.9}